Crystalline ScNbInCo at its relaxed geometry. Source: OQMD via LeMat-Bulk, functional PBE.

Results
Total energy in eV/atom: -6.4360
E above lowest polymorph in meV per atom: 0
Total moment in μB per formula unit: 2.0

Cell lengths 6.544, 6.544, 6.544 Å; angles 90.00, 90.00, 90.00 degrees
Space group F-43m (No. 216)
Symmetry-distinct sites (fractional):
1 Sc 0.000 0.000 0.000 (multiplicity 4)
2 Nb 0.250 0.250 0.750 (multiplicity 4)
3 In 0.250 0.250 0.250 (multiplicity 4)
4 Co 0.000 0.000 0.500 (multiplicity 4)